No. 1
# MnNi2Sn2 | the Alexandria database | PBE-GGA | optimized geometry
# - calculated formation energy (meV/atom) = 5
# - total magnetic moment (μB per atom) = 0.728
data_MnNi2Sn2
_cell_length_a 6.919
_cell_length_b 6.919
_cell_length_c 3.389
_cell_angle_alpha 90.00
_cell_angle_beta 90.00
_cell_angle_gamma 90.00
_symmetry_space_group_name_H-M 'P 4/m b m'
_symmetry_Int_Tables_number 127
_symmetry_space_group_name_Hall '-P 4 2ab'
loop_
_atom_site_label
_atom_site_type_symbol
_atom_site_fract_x
_atom_site_fract_y
_atom_site_fract_z
Mn1 Mn 0.000 0.000 0.000
Ni1 Ni 0.128 0.372 0.000
Sn1 Sn 0.171 0.671 0.500


No. 2
# MnNiSn2 | the Alexandria database | PBE-GGA | optimized geometry
# - calculated formation energy (meV/atom) = 305
# - total magnetic moment (μB per atom) = 0.962
# - relative energy among the computed polymorphs (eV/atom) = 0.124
data_MnNiSn2
_cell_length_a 7.382
_cell_length_b 7.382
_cell_length_c 5.891
_cell_angle_alpha 90.00
_cell_angle_beta 90.00
_cell_angle_gamma 90.00
_symmetry_space_group_name_H-M 'I -4 2 d'
_symmetry_Int_Tables_number 122
_symmetry_space_group_name_Hall 'I -4 2bw'
loop_
_atom_site_label
_atom_site_type_symbol
_atom_site_fract_x
_atom_site_fract_y
_atom_site_fract_z
Mn1 Mn 0.000 0.000 0.000
Ni1 Ni 0.000 0.000 0.500
Sn1 Sn 0.215 0.250 0.625


No. 3
# MnNi14Sn | the Alexandria database | PBE-GGA | optimized geometry
# - calculated formation energy (meV/atom) = -39
# - total magnetic moment (μB per atom) = 0.649
data_MnNi14Sn
_cell_length_a 5.092
_cell_length_b 5.092
_cell_length_c 7.129
_cell_angle_alpha 90.00
_cell_angle_beta 90.00
_cell_angle_gamma 90.00
_symmetry_space_group_name_H-M 'P 4/m m m'
_symmetry_Int_Tables_number 123
_symmetry_space_group_name_Hall '-P 4 2'
loop_
_atom_site_label
_atom_site_type_symbol
_atom_site_fract_x
_atom_site_fract_y
_atom_site_fract_z
Mn1 Mn 0.000 0.000 0.000
Ni1 Ni 0.000 0.000 0.500
Ni2 Ni 0.000 0.500 0.000
Ni3 Ni 0.000 0.500 0.500
Ni4 Ni 0.245 0.245 0.261
Ni5 Ni 0.500 0.500 0.500
Sn1 Sn 0.500 0.500 0.000


No. 4
# TiMnNi4Sn2 | the Alexandria database | PBE-GGA | optimized geometry
# - calculated formation energy (meV/atom) = -292
# - total magnetic moment (μB per atom) = 0.435
data_TiMnNi4Sn2
_cell_length_a 4.3140
_cell_length_b 4.3140
_cell_length_c 21.0433
_cell_angle_alpha 90.00
_cell_angle_beta 90.00
_cell_angle_gamma 120.00
_symmetry_space_group_name_H-M 'R -3 m'
_symmetry_Int_Tables_number 166
_symmetry_space_group_name_Hall '-R 3 2"'
loop_
_atom_site_label
_atom_site_type_symbol
_atom_site_fract_x
_atom_site_fract_y
_atom_site_fract_z
Ti1 Ti 0.0000 0.0000 0.0000
Mn1 Mn 0.0000 0.0000 0.5000
Ni1 Ni 0.0000 0.0000 0.1233
Ni2 Ni 0.0000 0.0000 0.3732
Sn1 Sn 0.0000 0.0000 0.2485


No. 5
# UMnNiSn | the Alexandria database | PBE-GGA | optimized geometry
# - calculated formation energy (meV/atom) = -10
# - total magnetic moment (μB per atom) = 0.250
data_UMnNiSn
_cell_length_a 6.557
_cell_length_b 6.557
_cell_length_c 6.557
_cell_angle_alpha 90.00
_cell_angle_beta 90.00
_cell_angle_gamma 90.00
_symmetry_space_group_name_H-M 'F -4 3 m'
_symmetry_Int_Tables_number 216
_symmetry_space_group_name_Hall 'F -4 2 3'
loop_
_atom_site_label
_atom_site_type_symbol
_atom_site_fract_x
_atom_site_fract_y
_atom_site_fract_z
U1 U 0.000 0.000 0.000
Mn1 Mn 0.250 0.250 0.250
Ni1 Ni 0.250 0.250 0.750
Sn1 Sn 0.000 0.000 0.500


No. 6
# MnVNi4Sn2 | the Alexandria database | PBE-GGA | optimized geometry
# - calculated formation energy (meV/atom) = -142
# - total magnetic moment (μB per atom) = 0.575
data_MnVNi4Sn2
_cell_length_a 4.2847
_cell_length_b 4.2847
_cell_length_c 20.9230
_cell_angle_alpha 90.00
_cell_angle_beta 90.00
_cell_angle_gamma 120.00
_symmetry_space_group_name_H-M 'R -3 m'
_symmetry_Int_Tables_number 166
_symmetry_space_group_name_Hall '-R 3 2"'
loop_
_atom_site_label
_atom_site_type_symbol
_atom_site_fract_x
_atom_site_fract_y
_atom_site_fract_z
Mn1 Mn 0.0000 0.0000 0.0000
V1 V 0.0000 0.0000 0.5000
Ni1 Ni 0.0000 0.0000 0.1262
Ni2 Ni 0.0000 0.0000 0.3773
Sn1 Sn 0.0000 0.0000 0.2506